Record 1
Below is an optimized crystal structure of RbBeCr2Te, with properties calculated at the PBE-GGA level. Values from VASP.

Quantum ESPRESSO input file:
```
&SYSTEM
  ibrav = 0, nat = 5, ntyp = 4
/
ATOMIC_SPECIES
Cr 52.00 Cr.upf
Te 127.60 Te.upf
Rb 85.47 Rb.upf
Be 9.01 Be.upf
ATOMIC_POSITIONS crystal
Cr 0.000 0.000 0.500
Cr 0.500 0.000 0.000
Te 0.000 0.500 0.000
Rb 0.500 0.500 0.500
Be 0.000 0.000 0.000
CELL_PARAMETERS angstrom
-0.890 0.425 -4.782
-0.009 -5.255 -0.466
-4.801 -0.071 0.887
```

Calculated values
**Symmetry**: No. 123
**Raw total energy**: -4.635 eV/atom
**E_form (uncorrected)**: 781 meV per atom
**Calculated density**: 4.30 g/cm³
**Total moment**: 9.07 μB per formula unit

=====

Record 2
Below is an optimized crystal structure of RbBe2VCr, with properties calculated at the PBE-GGA level. Values from VASP.

Quantum ESPRESSO input file:
```
&SYSTEM
  ibrav = 0, nat = 5, ntyp = 4
/
ATOMIC_SPECIES
Cr 52.00 Cr.upf
Be 9.01 Be.upf
Rb 85.47 Rb.upf
V 50.94 V.upf
ATOMIC_POSITIONS crystal
Cr 0.000 0.500 0.000
Be 0.000 0.000 0.500
Be 0.500 0.000 0.000
Rb 0.000 0.000 0.000
V 0.500 0.500 0.500
CELL_PARAMETERS angstrom
4.393 0.000 0.000
0.000 4.461 0.000
0.000 0.000 4.393
```

Calculated values
**Energy relative to the elements**: 3.01 eV/atom
**Symmetry**: No. 123
**Raw total energy**: -2.422 eV/atom
**Calculated density**: 3.98 g/cm³
**Total moment**: 0.00 μB per formula unit

=====

Record 3
Below is an optimized crystal structure of BeCrRe2, with properties calculated at the PBE-GGA level. Values from VASP.

Quantum ESPRESSO input file:
```
&SYSTEM
  ibrav = 0, nat = 4, ntyp = 3
/
ATOMIC_SPECIES
Re 186.21 Re.upf
Be 9.01 Be.upf
Cr 52.00 Cr.upf
ATOMIC_POSITIONS crystal
Re 0.000 0.000 0.000
Re 0.500 0.500 0.000
Be 0.500 0.000 0.500
Cr 0.000 0.500 0.500
CELL_PARAMETERS angstrom
3.082 0.000 0.000
0.000 4.218 0.000
0.000 0.000 4.016
```

Calculated values
**Energy relative to the elements**: 0.15 eV/atom
**Symmetry**: No. 47
**Raw total energy**: -9.414 eV/atom
**Calculated density**: 13.78 g/cm³
**Total moment**: 1.52 μB per formula unit